No. 1
Entry from Alexandria: an optimized crystal structure of Dy7Y12Sn (PBE).

Output
DFT formation energy = 136 meV/atom
Final energy = -111.07 eV per cell
SG = No. 148
Theoretical density = 5.94 g/cm3

extended XYZ file:
```
20
Lattice="8.405 1.162 1.743 -1.221 8.397 1.743 -1.221 -1.625 8.420" Properties=species:S:1:pos:R:3 pbc="T T T"
Y 0.179 5.134 9.063
Y -0.156 3.383 6.289
Y 1.081 0.186 6.940
Y -0.122 5.985 3.679
Y 6.085 1.948 8.228
Y 5.783 2.799 2.844
Y 3.293 5.499 3.152
Y 4.367 1.102 5.544
Y 2.670 2.434 8.755
Y 4.881 7.748 4.967
Y 1.595 6.831 6.363
Y 6.118 4.551 5.618
Dy 2.976 7.155 9.902
Dy -0.083 0.663 3.620
Dy 0.660 3.300 1.490
Dy 2.981 3.967 5.954
Dy 6.046 7.270 8.288
Dy 5.303 4.633 10.417
Dy 2.987 0.778 2.006
Sn 0.000 0.000 0.000
```

---

No. 2
Entry from Alexandria: an optimized crystal structure of MoC2 (PBE).

Output
DFT formation energy = 1189 meV/atom
Final energy = -51.42 eV per cell
SG = No. 141
Theoretical density = 7.64 g/cm3

extended XYZ file:
```
6
Lattice="-1.338 1.338 7.278 1.338 -1.338 7.278 1.338 1.338 -7.278" Properties=species:S:1:pos:R:3 pbc="T T T"
Mo 0.000 0.000 0.000
Mo 0.000 1.338 3.639
C 1.338 0.000 5.062
C 0.000 0.000 8.701
C 0.000 0.000 5.855
C 1.338 0.000 2.216
```

---

No. 3
Entry from Alexandria: an optimized crystal structure of Ge6IrOs3 (PBE).

Output
DFT formation energy = 42 meV/atom
Final energy = -139.68 eV per cell
SG = No. 11
Theoretical density = 12.09 g/cm3

extended XYZ file:
```
20
Lattice="3.004 0.000 0.000 0.000 8.876 -4.994 0.000 -0.086 12.402" Properties=species:S:1:pos:R:3 pbc="T T T"
Ge 0.751 3.140 4.538
Ge 0.751 4.485 8.497
Ge 2.253 6.127 5.542
Ge 0.751 6.754 -0.845
Ge 2.253 0.883 11.745
Ge 2.253 0.567 4.345
Ge 0.751 7.906 -4.337
Ge 0.751 2.663 1.865
Ge 2.253 5.649 2.870
Ge 2.253 4.305 -1.089
Ge 0.751 8.222 3.063
Ge 2.253 2.035 8.253
Os 0.751 1.245 6.339
Os 2.253 0.696 1.883
Os 2.253 7.545 1.069
Os 0.751 4.994 0.957
Os 0.751 8.093 5.525
Os 2.253 3.796 6.451
Ir 2.253 6.414 -2.853
Ir 0.751 2.375 10.261
```

---

No. 4
Entry from Alexandria: an optimized crystal structure of Y7Tl2Ga2 (PBE).

Output
DFT formation energy = -186 meV/atom
Final energy = -58.08 eV per cell
SG = No. 65
Theoretical density = 5.88 g/cm3

extended XYZ file:
```
11
Lattice="6.808 -0.003 -0.921 0.003 7.405 0.003 -1.344 -0.002 6.738" Properties=species:S:1:pos:R:3 pbc="T T T"
Y 2.735 5.596 2.911
Y 2.733 1.805 2.909
Y 6.139 5.380 2.450
Y 0.000 0.000 0.000
Y -0.671 2.020 3.370
Y 3.407 5.383 -0.458
Y 2.061 2.018 6.278
Tl 1.010 3.702 1.074
Tl 4.458 3.698 4.745
Ga 1.013 7.403 4.530
Ga 4.455 -0.003 1.289
```

---

No. 5
Entry from Alexandria: an optimized crystal structure of LiMoOs2 (PBE).

Output
DFT formation energy = 242 meV/atom
Final energy = -34.24 eV per cell
SG = No. 25
Theoretical density = 14.27 g/cm3

extended XYZ file:
```
4
Lattice="-0.518 1.831 -1.923 -3.016 1.431 2.175 3.260 3.353 2.314" Properties=species:S:1:pos:R:3 pbc="T T T"
Mo 0.640 4.106 1.835
Os 0.022 0.023 0.016
Os -0.915 2.507 0.731
Li 1.610 1.656 1.143
```

---

No. 6
Entry from Alexandria: an optimized crystal structure of MgPb3 (PBE).

Output
DFT formation energy = 12 meV/atom
Final energy = -25.34 eV per cell
SG = No. 63
Theoretical density = 9.14 g/cm3

extended XYZ file:
```
8
Lattice="5.440 0.000 0.000 0.000 7.078 0.037 0.000 3.571 6.111" Properties=species:S:1:pos:R:3 pbc="T T T"
Mg 4.080 7.100 4.099
Mg 1.360 3.549 2.049
Pb 1.360 5.382 5.072
Pb 4.080 3.565 4.023
Pb 1.360 8.800 5.081
Pb 4.080 1.849 1.067
Pb 4.080 5.266 1.076
Pb 1.360 7.084 2.125
```

---

No. 7
Entry from Alexandria: an optimized crystal structure of La3RhSe2 (PBE).

Output
Energy relative to the elements, uncorrected = -1.57 eV per atom
Final energy = -38.51 eV per cell
SG = No. 139
Theoretical density = 6.54 g/cm3

extended XYZ file:
```
6
Lattice="4.303 -0.001 -0.980 -0.224 4.297 -0.981 -0.128 -0.133 9.371" Properties=species:S:1:pos:R:3 pbc="T T T"
La 3.699 3.904 6.356
La 2.378 2.511 0.559
La 1.069 1.132 4.743
Rh 1.659 1.756 7.337
Se 3.046 3.214 3.487
Se 0.402 0.429 1.815
```

---

No. 8
Entry from Alexandria: an optimized crystal structure of SrEu2Ir (PBE).

Output
DFT formation energy = -159 meV/atom
Final energy = -31.73 eV per cell
SG = No. 123
Theoretical density = 7.25 g/cm3

extended XYZ file:
```
4
Lattice="3.649 0.000 0.000 0.000 3.649 0.000 0.000 0.000 10.039" Properties=species:S:1:pos:R:3 pbc="T T T"
Sr 1.825 1.825 5.019
Eu 0.000 0.000 8.396
Eu 0.000 0.000 1.643
Ir 1.825 1.825 0.000
```

---

No. 9
Entry from Alexandria: an optimized crystal structure of HoTh2Sc (PBE).

Output
DFT formation energy = 48 meV/atom
Final energy = -25.56 eV per cell
SG = No. 166
Theoretical density = 9.35 g/cm3

extended XYZ file:
```
4
Lattice="3.520 0.000 0.000 1.760 3.048 0.000 1.760 1.016 11.153" Properties=species:S:1:pos:R:3 pbc="T T T"
Sc 0.000 0.000 0.000
Ho 3.520 2.032 5.576
Th 1.760 1.016 2.703
Th 5.279 3.048 8.450
```

---

No. 10
Entry from Alexandria: an optimized crystal structure of AcPaAu (PBE).

Output
DFT formation energy = -81 meV/atom
Final energy = -17.12 eV per cell
SG = No. 107
Theoretical density = 12.04 g/cm3

extended XYZ file:
```
3
Lattice="3.814 0.000 0.000 0.000 3.814 0.000 -1.907 -1.907 6.211" Properties=species:S:1:pos:R:3 pbc="T T T"
Ac 0.000 0.000 0.092
Pa 0.000 0.000 3.697
Au 1.907 1.907 2.423
```

---

No. 11
Entry from Alexandria: an optimized crystal structure of Nb2AlV (PBE).

Output
DFT formation energy = 125 meV/atom
Final energy = -32.50 eV per cell
SG = No. 166
Theoretical density = 6.37 g/cm3

extended XYZ file:
```
4
Lattice="-0.318 -1.751 -2.479 0.905 -2.914 0.064 -7.552 -3.903 1.848" Properties=species:S:1:pos:R:3 pbc="T T T"
Nb -5.363 -6.468 -0.378
Nb -1.603 -2.100 -0.189
Al -3.483 -4.284 -0.284
V 0.000 0.000 0.000
```